# 1
{"formula": "VCdGe3", "functional": "PBE-GGA", "state": "optimized geometry", "space_group": "Pm-3m (221)", "polymorph_energy_ev_per_atom": 0.0000, "lattice_angstrom": [[-3.878, -1.435, -2.470], [-1.026, -3.187, 3.462], [-2.666, 3.314, 2.260]], "species": ["Ge", "Ge", "Ge", "V", "Cd"], "frac_coords": [[0.000, 0.000, 0.500], [0.000, 0.500, 0.000], [0.500, 0.000, 0.000], [0.000, 0.000, 0.000], [0.500, 0.500, 0.500]]}

***

# 2
{"formula": "V2CdGe", "functional": "PBE-GGA", "state": "optimized geometry", "space_group": "I-42d (122)", "lattice_angstrom": [[7.068, 0.000, 0.000], [0.000, 7.068, 0.000], [3.534, 3.534, 2.708]], "species": ["V", "V", "Ge", "V", "Cd", "Cd", "Ge", "V"], "frac_coords": [[0.875, 0.851, 0.750], [0.149, 0.625, 0.250], [0.500, 0.500, 0.000], [0.601, 0.125, 0.250], [0.750, 0.250, 0.500], [0.000, 0.000, 0.000], [0.250, 0.750, 0.500], [0.375, 0.399, 0.750]]}

***

Number 1: DFT total energy -22.59 eV for the cell shown, DOS at the Fermi energy 4.0 states/eV/cell. Number 2: DFT total energy -43.89 eV for the cell shown, DOS at the Fermi energy 4.8 states/eV/cell.